# 1
Entry from Alexandria: VCoAsSe2 after structural relaxation (GGA-PBE).

Unit cell a=4.7679 b=4.7679 c=4.3069 alpha=90.00 beta=90.00 gamma=90.00
Space group P4/mmm (No. 123)
One atom of each set of equivalent atoms:
V  0.0000  0.0000  0.0000 x1
Co  0.5000  0.5000  0.5000 x1
As  0.5000  0.5000  0.0000 x1
Se  0.0000  0.5000  0.5000 x2

Properties
E_form (uncorrected) in meV/atom: 634
Distance to the lowest polymorph of the same formula in meV/atom: 27

=====

# 2
Entry from Alexandria: Tb2Pm6Pr3Mg after structural relaxation (GGA-PBE).

Unit cell a=6.2876 b=10.9051 c=11.9493 alpha=90.00 beta=100.17 gamma=90.00
Space group C2/m (No. 12)
One atom of each set of equivalent atoms:
Tb  0.0000  0.1666  0.0000 x4
Pm  0.2457  0.3343  0.2439 x8
Pm  0.2490  0.0000  0.2453 x4
Pr  0.0000  0.0000  0.5000 x2
Pr  0.0000  0.3331  0.5000 x4
Mg  0.0000  0.5000  0.0000 x2

Properties
Calculated formation energy in meV/atom: 28

=====

# 3
Entry from Alexandria: Sr3PbBr after structural relaxation (GGA-PBE).

Unit cell a=5.8469 b=5.8469 c=5.8469 alpha=90.00 beta=90.00 gamma=90.00
Space group Pm-3m (No. 221)
One atom of each set of equivalent atoms:
Sr  0.0000  0.0000  0.5000 x3
Pb  0.5000  0.5000  0.5000 x1
Br  0.0000  0.0000  0.0000 x1

Properties
E_form (uncorrected) in meV/atom: -574
Distance to the lowest polymorph of the same formula in meV/atom: 301

=====

# 4
Entry from Alexandria: LaPm4Hg5 after structural relaxation (GGA-PBE).

Unit cell a=3.8356 b=3.8356 c=19.1230 alpha=90.00 beta=90.00 gamma=90.00
Space group P4/mmm (No. 123)
One atom of each set of equivalent atoms:
La  0.0000  0.0000  0.0000 x1
Pm  0.0000  0.0000  0.2040 x2
Pm  0.0000  0.0000  0.4015 x2
Hg  0.5000  0.5000  0.1067 x2
Hg  0.5000  0.5000  0.3022 x2
Hg  0.5000  0.5000  0.5000 x1

Properties
Calculated formation energy in meV/atom: -479

=====

# 5
Entry from Alexandria: Pr4Y5Cd after structural relaxation (GGA-PBE).

Unit cell a=3.6587 b=3.6587 c=24.4285 alpha=90.00 beta=90.00 gamma=90.00
Space group P4/mmm (No. 123)
One atom of each set of equivalent atoms:
Pr  0.0000  0.0000  0.1045 x2
Pr  0.0000  0.0000  0.3140 x2
Y  0.5000  0.5000  0.0000 x1
Y  0.5000  0.5000  0.2094 x2
Y  0.5000  0.5000  0.4185 x2
Cd  0.0000  0.0000  0.5000 x1

Properties
Calculated formation energy in meV/atom: -56

=====

# 6
Entry from Alexandria: AcCeNdMg after structural relaxation (GGA-PBE).

Unit cell a=8.1467 b=8.1467 c=8.1467 alpha=90.00 beta=90.00 gamma=90.00
Space group F-43m (No. 216)
One atom of each set of equivalent atoms:
Ac  0.0000  0.0000  0.0000 x4
Ce  0.2500  0.2500  0.2500 x4
Nd  0.2500  0.2500  0.7500 x4
Mg  0.0000  0.0000  0.5000 x4

Properties
Calculated formation energy in meV/atom: 176

=====

# 7
Entry from Alexandria: KMn4Br12 after structural relaxation (GGA-PBE).

Unit cell a=9.8684 b=9.8684 c=9.8684 alpha=90.00 beta=90.00 gamma=90.00
Space group Im-3 (No. 204)
One atom of each set of equivalent atoms:
K  0.0000  0.0000  0.0000 x2
Mn  0.2500  0.2500  0.2500 x8
Br  0.0000  0.1897  0.3018 x24

Properties
E_form (uncorrected) in meV/atom: -738

=====

# 8
Entry from Alexandria: Be2CuNi after structural relaxation (GGA-PBE).

Unit cell a=5.8490 b=5.8490 c=4.7934 alpha=90.00 beta=90.00 gamma=90.00
Space group I-42d (No. 122)
One atom of each set of equivalent atoms:
Be  0.2434  0.7500  0.1250 x8
Cu  0.0000  0.0000  0.5000 x4
Ni  0.0000  0.0000  0.0000 x4

Properties
Calculated formation energy in meV/atom: 146

=====

# 9
Entry from Alexandria: NaLi2IrCl8 after structural relaxation (GGA-PBE).

Unit cell a=6.2463 b=6.7447 c=8.2464 alpha=66.75 beta=87.55 gamma=78.25
Space group P-1 (No. 2)
One atom of each set of equivalent atoms:
Na  0.0000  0.0000  0.0000 x1
Li  0.4605  0.3373  0.1788 x2
Ir  0.0000  0.0000  0.5000 x1
Cl  0.0893  0.2390  0.2217 x2
Cl  0.1307  0.1997  0.6305 x2
Cl  0.3446  0.7753  0.5336 x2
Cl  0.3929  0.7220  0.0661 x2

Properties
E_form (uncorrected) in meV/atom: -1026

=====

Copy entry 7 word for word.
Entry from Alexandria: KMn4Br12 after structural relaxation (GGA-PBE).

Unit cell a=9.8684 b=9.8684 c=9.8684 alpha=90.00 beta=90.00 gamma=90.00
Space group Im-3 (No. 204)
One atom of each set of equivalent atoms:
K  0.0000  0.0000  0.0000 x2
Mn  0.2500  0.2500  0.2500 x8
Br  0.0000  0.1897  0.3018 x24

Properties
E_form (uncorrected) in meV/atom: -738

=====

Which formula does entry 4 have?
LaPm4Hg5